1.
Crystalline CsTlHg2Te at its relaxed geometry. Source: the Alexandria database, functional PBE.

Output
The calculation puts the spin magnetization at 0.0 μB per formula unit. The space group is No. 123. As for the final energy: -0.062 Ha/atom. The formation energy from raw total energies comes out at -0.291 eV per atom.

abc: 5.9881 5.9881 6.2279
angles: 90.00 90.00 90.00
Last column: nearest neighbours and their distance in Å.
Sites, in units of the cell vectors:
Cs 0.0000 0.0000 0.0000  4 Te 4.23, 8 Hg 4.32
Tl 0.5000 0.5000 0.5000  4 Hg 2.99, 2 Te 3.11
Hg 0.0000 0.5000 0.5000  2 Tl 2.99
Hg 0.5000 0.0000 0.5000  2 Tl 2.99
Te 0.5000 0.5000 0.0000  2 Tl 3.11



2.
Crystalline Bi2TeSe at its relaxed geometry. Source: the Alexandria database, functional PBE.

Output
The calculation puts the spin magnetization at 0.0 μB per formula unit. The space group is No. 154. As for the final energy: -0.125 Ha/atom. The formation energy from raw total energies comes out at 0.201 eV per atom.

abc: 5.0630 5.0630 23.4758
angles: 90.00 90.00 120.00
Last column: nearest neighbours and their distance in Å.
Sites, in units of the cell vectors:
Bi 0.0035 0.3371 0.4568  1 Te 2.90, 3 Se 3.09-3.10
Bi 0.3336 0.9965 0.7901  1 Te 2.90, 3 Se 3.09-3.10
Bi 0.3371 0.0035 0.5432  1 Te 2.90, 3 Se 3.09-3.10
Bi 0.6629 0.6664 0.1234  1 Te 2.90, 3 Se 3.09-3.10
Bi 0.6664 0.6629 0.8766  1 Te 2.90, 3 Se 3.09-3.10
Bi 0.9965 0.3336 0.2099  1 Te 2.90, 3 Se 3.09-3.10
Te 0.0000 0.3353 0.3333  2 Bi 2.90
Te 0.3353 0.0000 0.6667  2 Bi 2.90
Te 0.6647 0.6647 0.0000  2 Bi 2.90
Se 0.0000 0.3282 0.8333  6 Bi 3.09-3.10
Se 0.3282 0.0000 0.1667  6 Bi 3.09-3.10
Se 0.6718 0.6718 0.5000  6 Bi 3.09-3.10



3.
Crystalline Zr4TlTc at its relaxed geometry. Source: the Alexandria database, functional PBE.

Output
The calculation puts the spin magnetization at 0.0 μB per formula unit. For the formation energy, the calculation gives -0.16 eV per atom. The space group is No. 123. As for the final energy: -0.293 Ha/atom.

abc: 3.3260 3.3260 11.6659
angles: 90.00 90.00 90.00
Last column: nearest neighbours and their distance in Å.
Sites, in units of the cell vectors:
Zr 0.0000 0.0000 0.1370  4 Tc 2.84, 4 Zr 3.17
Zr 0.0000 0.0000 0.8630  4 Tc 2.84, 4 Zr 3.17
Zr 0.5000 0.5000 0.3191  4 Tl 3.16, 8 Zr 3.17-3.33
Zr 0.5000 0.5000 0.6809  4 Tl 3.16, 8 Zr 3.17-3.33
Tl 0.0000 0.0000 0.5000  8 Zr 3.16, 4 Tl 3.33
Tc 0.5000 0.5000 0.0000  8 Zr 2.84



4.
Crystalline Tm5Sn2H at its relaxed geometry. Source: the Alexandria database, functional PBE.

Output
The calculation puts the spin magnetization at 0.0 μB per formula unit. The space group is No. 107. As for the final energy: -0.168 Ha/atom.

abc: 6.5190 6.5190 6.5190
angles: 117.01 117.01 95.26
Last column: nearest neighbours and their distance in Å.
Sites, in units of the cell vectors:
Tm 0.0000 0.0000 0.0000  1 H 2.19
Tm 0.0050 0.0050 0.5018  1 H 2.42
Tm 0.0050 0.5032 0.0000  1 H 2.42
Tm 0.5032 0.0050 0.0000  1 H 2.42
Tm 0.5032 0.5032 0.4982  1 H 2.42
Sn 0.0037 0.5037 0.5000  10 Tm 3.26-3.41
Sn 0.5037 0.0037 0.5000  10 Tm 3.26-3.41
H 0.7510 0.7510 0.0000  5 Tm 2.19-2.42



5.
Crystalline Nd12YTm7 at its relaxed geometry. Source: the Alexandria database, functional PBE.

Output
The calculation puts the spin magnetization at 0.0 μB per formula unit. For the formation energy, the calculation gives 0.24 eV per atom. The space group is No. 148. As for the final energy: -0.166 Ha/atom.

abc: 11.5265 11.5265 11.5265
angles: 116.85 116.85 116.85
Last column: nearest neighbours and their distance in Å.
Sites, in units of the cell vectors:
Nd 0.9998 0.4130 0.5877  2 Tm 3.38, 5 Nd 3.40-3.75
Nd 0.0002 0.5870 0.4123  2 Tm 3.38, 5 Nd 3.40-3.75
Nd 0.0860 0.4384 0.0869  4 Tm 3.32-3.59, 1 Nd 3.39
Nd 0.0869 0.0860 0.4384  4 Tm 3.32-3.59, 1 Nd 3.39
Nd 0.4123 0.0002 0.5870  2 Tm 3.38, 5 Nd 3.40-3.75
Nd 0.4130 0.5877 0.9998  2 Tm 3.38, 5 Nd 3.40-3.75
Nd 0.4384 0.0869 0.0860  4 Tm 3.32-3.59, 1 Nd 3.39
Nd 0.5616 0.9131 0.9140  4 Tm 3.32-3.59, 1 Nd 3.39
Nd 0.5870 0.4123 0.0002  2 Tm 3.38, 5 Nd 3.40-3.75
Nd 0.5877 0.9998 0.4130  2 Tm 3.38, 5 Nd 3.40-3.75
Nd 0.9131 0.9140 0.5616  4 Tm 3.32-3.59, 1 Nd 3.39
Nd 0.9140 0.5616 0.9131  4 Tm 3.32-3.59, 1 Nd 3.39
Y 0.5000 0.5000 0.5000  8 Tm 3.05-3.11
Tm 0.0000 0.0000 0.0000  2 Y 3.11, 6 Tm 3.31
Tm 0.1299 0.3730 0.3741  1 Y 3.05, 1 Tm 3.31, 4 Nd 3.32-3.38
Tm 0.3730 0.3741 0.1299  1 Y 3.05, 1 Tm 3.31, 4 Nd 3.32-3.38
Tm 0.3741 0.1299 0.3730  1 Y 3.05, 1 Tm 3.31, 4 Nd 3.32-3.38
Tm 0.6258 0.8701 0.6270  1 Y 3.05, 1 Tm 3.31, 4 Nd 3.32-3.38
Tm 0.6270 0.6258 0.8701  1 Y 3.05, 1 Tm 3.31, 4 Nd 3.32-3.38
Tm 0.8701 0.6270 0.6259  1 Y 3.05, 1 Tm 3.31, 4 Nd 3.32-3.38



6.
Crystalline BaNaSr2 at its relaxed geometry. Source: the Alexandria database, functional PBE.

Output
The calculation puts the spin magnetization at 0.0 μB per formula unit. For the formation energy, the calculation gives 0.01 eV per atom. The space group is No. 129. As for the final energy: -0.060 Ha/atom.

abc: 6.5471 6.5471 9.9232
angles: 90.00 90.00 90.00
Last column: nearest neighbours and their distance in Å.
Sites, in units of the cell vectors:
Ba 0.2500 0.2500 0.2267  4 Na 3.97, 4 Sr 4.25
Ba 0.7500 0.7500 0.7733  4 Na 3.97, 4 Sr 4.25
Na 0.2500 0.7500 0.0000  4 Ba 3.97, 4 Sr 3.99
Na 0.7500 0.2500 0.0000  4 Ba 3.97, 4 Sr 3.99
Sr 0.2500 0.2500 0.7705  4 Na 3.99, 4 Sr 4.23
Sr 0.2500 0.7500 0.5000  8 Sr 4.23-4.63, 4 Ba 4.25
Sr 0.7500 0.2500 0.5000  8 Sr 4.23-4.63, 4 Ba 4.25
Sr 0.7500 0.7500 0.2295  4 Na 3.99, 4 Sr 4.23



Q: Which of these has the lowest final energy?
A: Zr4TlTc